Mn2CdFeOs: relaxed, GGA-PBE.

Properties
- Total magnetization: 9.95 μB/cell
- Crystal system: tetragonal
- Formation energy: 7.4 eV/f.u.
- Symmetry: P4/mmm (123)

```
Mn2CdFeOs
1.0
4.615 0.000 0.000
0.000 5.124 0.000
0.000 0.000 4.615
Mn Fe Cd Os
2 1 1 1
Cartesian
2.307 0.000 0.000
0.000 0.000 2.307
2.307 2.562 2.307
0.000 2.562 0.000
0.000 0.000 0.000
```